#A
Computed, not measured: an optimized crystal structure of Ba2SiO at the PBE-GGA level of DFT.

abc: 7.0466 7.0466 7.0466
angles: 114.45 114.45 99.92
Positions (direct):
Ba 0.0397 0.1250 0.4147
Ba 0.3750 0.9603 0.0853
Ba 0.7103 0.6250 0.5853
Ba 0.8750 0.2897 0.9147
Si 0.2500 0.7500 0.5000
Si 0.5000 0.5000 0.0000
O 0.0000 0.0000 0.0000
O 0.7500 0.2500 0.5000

Results
The crystal system is tetragonal. As for the symmetry: I-42d. For the density of states at the Fermi level, the calculation gives 0.007 states/eV/atom.

#B
Computed, not measured: an optimized crystal structure of Ba2SiO at the PBE-GGA level of DFT.

abc: 5.4150 5.4150 5.4150
angles: 60.00 60.00 60.00
Positions (direct):
Ba 0.2500 0.2500 0.2500
Ba 0.7500 0.7500 0.7500
Si 0.0000 0.0000 0.0000
O 0.5000 0.5000 0.5000

Results
The crystal system is cubic. As for the symmetry: Fm-3m. For the density of states at the Fermi level, the calculation gives 0.728 states/eV/atom.

It turns out #A is the most stable, with the second structure 0.524 eV/atom higher.

#A
Computed, not measured: an optimized crystal structure of Ba5Si2O at the PBE-GGA level of DFT.

abc: 14.1970 5.4175 16.9956
angles: 90.00 90.00 90.00
Positions (direct):
Ba 0.0016 0.2500 0.1436
Ba 0.0130 0.2500 0.6027
Ba 0.2119 0.7500 0.0279
Ba 0.2260 0.2500 0.8709
Ba 0.2487 0.7500 0.7214
Ba 0.2513 0.2500 0.2214
Ba 0.2740 0.7500 0.3709
Ba 0.2881 0.2500 0.5279
Ba 0.4870 0.7500 0.1027
Ba 0.4984 0.7500 0.6436
Ba 0.5016 0.2500 0.3564
Ba 0.5130 0.2500 0.8973
Ba 0.7119 0.7500 0.4721
Ba 0.7260 0.2500 0.6291
Ba 0.7487 0.7500 0.7786
Ba 0.7513 0.2500 0.2786
Ba 0.7740 0.7500 0.1291
Ba 0.7881 0.2500 0.9721
Ba 0.9870 0.7500 0.3973
Ba 0.9984 0.7500 0.8564
Si 0.1063 0.7500 0.2201
Si 0.1555 0.7500 0.5398
Si 0.3445 0.2500 0.0398
Si 0.3937 0.2500 0.7201
Si 0.6063 0.7500 0.2799
Si 0.6555 0.7500 0.9602
Si 0.8445 0.2500 0.4602
Si 0.8937 0.2500 0.7799
O 0.1761 0.7500 0.8668
O 0.3239 0.2500 0.3668
O 0.6761 0.7500 0.6332
O 0.8239 0.2500 0.1332

Results
The crystal system is orthorhombic. As for the symmetry: Pnma. For the density of states at the Fermi level, the calculation gives 0.519 states/eV/atom.

#B
Computed, not measured: an optimized crystal structure of Ba5Si2O at the PBE-GGA level of DFT.

abc: 7.7708 7.7708 14.9626
angles: 90.00 90.00 131.71
Positions (direct):
Ba 0.0582 0.9418 0.6233
Ba 0.0582 0.9418 0.8767
Ba 0.2916 0.7084 0.2500
Ba 0.3270 0.6730 0.6044
Ba 0.3270 0.6730 0.8956
Ba 0.6730 0.3270 0.1044
Ba 0.6730 0.3270 0.3956
Ba 0.7084 0.2916 0.7500
Ba 0.9418 0.0582 0.1233
Ba 0.9418 0.0582 0.3767
Si 0.1743 0.8257 0.0652
Si 0.1743 0.8257 0.4348
Si 0.8257 0.1743 0.5652
Si 0.8257 0.1743 0.9348
O 0.1894 0.8106 0.7500
O 0.8106 0.1894 0.2500

Results
The crystal system is orthorhombic. As for the symmetry: Cmcm. For the density of states at the Fermi level, the calculation gives 0.737 states/eV/atom.

It turns out #A is the most stable, with the second structure 0.132 eV/atom higher.

#A
Computed, not measured: an optimized crystal structure of BaUSi2O8 at the PBE-GGA level of DFT.

abc: 8.8923 8.8923 7.7238
angles: 90.00 90.00 142.50
Positions (direct):
Ba 0.2056 0.7944 0.7500
Ba 0.7944 0.2056 0.2500
U 0.1225 0.8775 0.2500
U 0.8775 0.1225 0.7500
Si 0.4059 0.5941 0.0407
Si 0.4059 0.5941 0.4593
Si 0.5941 0.4059 0.5407
Si 0.5941 0.4059 0.9593
O 0.0137 0.9863 0.2500
O 0.1293 0.4060 0.5362
O 0.1293 0.4060 0.9638
O 0.2332 0.7668 0.2500
O 0.3943 0.6057 0.2500
O 0.4060 0.1293 0.0362
O 0.4060 0.1293 0.4638
O 0.5000 0.5000 0.0000
O 0.5000 0.5000 0.5000
O 0.5940 0.8707 0.5362
O 0.5940 0.8707 0.9638
O 0.6057 0.3943 0.7500
O 0.7668 0.2332 0.7500
O 0.8707 0.5940 0.0362
O 0.8707 0.5940 0.4638
O 0.9863 0.0137 0.7500

Results
The crystal system is orthorhombic. As for the symmetry: Cmcm. For the density of states at the Fermi level, the calculation gives 0.000 states/eV/atom.

#B
Computed, not measured: an optimized crystal structure of BaUSi2O8 at the PBE-GGA level of DFT.

abc: 9.0996 9.0996 9.0996
angles: 32.28 32.28 32.28
Positions (direct):
Ba 0.0000 0.0000 0.0000
U 0.5000 0.5000 0.5000
Si 0.2438 0.2438 0.2438
Si 0.7562 0.7562 0.7562
O 0.1034 0.5064 0.7342
O 0.2658 0.4936 0.8966
O 0.3054 0.3054 0.3054
O 0.4936 0.8966 0.2658
O 0.5064 0.7342 0.1034
O 0.6946 0.6946 0.6946
O 0.7342 0.1034 0.5064
O 0.8966 0.2658 0.4936

Results
The crystal system is trigonal. As for the symmetry: R32.

It turns out #A is the most stable, with the second structure 0.160 eV/atom higher.